# In3SiBi | the Alexandria database | GGA-PBE | optimized geometry
data_In3SiBi
_chemical_formula_sum 'In3 Si1 Bi1'
_cell_length_a 5.832
_cell_length_b 5.832
_cell_length_c 5.832
_cell_angle_alpha 90.00
_cell_angle_beta 90.00
_cell_angle_gamma 90.00
_space_group_name_H-M_alt 'P m -3 m'
_space_group_IT_number 221
_space_group_name_Hall '-P 4 2 3'
loop_
_atom_site_label
_atom_site_type_symbol
_atom_site_fract_x
_atom_site_fract_y
_atom_site_fract_z
_atom_site_occupancy
In1 In 0.000 0.000 0.500 1
Si1 Si 0.500 0.500 0.500 1
Bi1 Bi 0.000 0.000 0.000 1
# - E above lowest polymorph (meV/atom) = 693
# - raw formation energy (eV per atom) = 0.982
# - calculated total energy (eV per atom) = -2.522
# - magnetization (μB per atom) = 0.210